Entry 1:
The following is a PBE calculation of an optimized crystal structure of MgV2Pt6, from the Alexandria database.

Summary:
calculated total energy: -6.708 eV/atom

```
data_MgV2Pt6
_cell_length_a 7.5162
_cell_length_b 7.5162
_cell_length_c 2.7805
_cell_angle_alpha 90.00
_cell_angle_beta 90.00
_cell_angle_gamma 120.00
_space_group_name_H-M_alt 'P -6 2 m'
_space_group_IT_number 189
_space_group_name_Hall 'P -6 -2'
loop_
_atom_site_label
_atom_site_fract_x
_atom_site_fract_y
_atom_site_fract_z
Mg1 0.0000 0.0000 0.0000
V1 0.3333 0.6667 0.5000
Pt1 0.0000 0.3088 0.5000
Pt2 0.0000 0.6370 0.0000
```

Entry 2:
The following is a PBE calculation of an optimized crystal structure of As2RuF2, from the Alexandria database.

Summary:
formation energy without anion corrections: -241.9 meV per atom
polymorph energy (0 for the lowest one): 7.3 kJ per mole of atoms
calculated total energy: -4.705 eV/atom

```
data_As2RuF2
_cell_length_a 4.807
_cell_length_b 4.807
_cell_length_c 6.266
_cell_angle_alpha 90.00
_cell_angle_beta 90.00
_cell_angle_gamma 90.00
_space_group_name_H-M_alt 'I 4/m m m'
_space_group_IT_number 139
_space_group_name_Hall '-I 4 2'
loop_
_atom_site_label
_atom_site_fract_x
_atom_site_fract_y
_atom_site_fract_z
As1 0.000 0.500 0.250
Ru1 0.000 0.000 0.000
F1 0.000 0.000 0.329
```

Entry 3:
The following is a PBE calculation of an optimized crystal structure of Li4Ho3TiSe8, from the Alexandria database.

Summary:
formation energy without anion corrections: -1543.3 meV per atom
calculated total energy: -5.116 eV/atom

```
data_Li4Ho3TiSe8
_cell_length_a 7.9378
_cell_length_b 7.9378
_cell_length_c 19.4270
_cell_angle_alpha 90.00
_cell_angle_beta 90.00
_cell_angle_gamma 120.00
_space_group_name_H-M_alt 'R -3 m'
_space_group_IT_number 166
_space_group_name_Hall '-R 3 2"'
loop_
_atom_site_label
_atom_site_fract_x
_atom_site_fract_y
_atom_site_fract_z
Li1 0.0000 0.0000 0.0000
Li2 0.0000 0.5000 0.0000
Ho1 0.0000 0.5000 0.5000
Ti1 0.0000 0.0000 0.5000
Se1 0.0000 0.0000 0.2521
Se2 0.0169 0.5085 0.2487
```

Entry 4:
The following is a PBE calculation of an optimized crystal structure of CaNi3Se, from the Alexandria database.

Summary:
formation energy without anion corrections: -92.1 meV per atom
polymorph energy (0 for the lowest one): 0.0 kJ per mole of atoms
calculated total energy: -4.658 eV/atom

```
data_CaNi3Se
_cell_length_a 4.442
_cell_length_b 4.442
_cell_length_c 4.442
_cell_angle_alpha 90.00
_cell_angle_beta 90.00
_cell_angle_gamma 90.00
_space_group_name_H-M_alt 'P m -3 m'
_space_group_IT_number 221
_space_group_name_Hall '-P 4 2 3'
loop_
_atom_site_label
_atom_site_fract_x
_atom_site_fract_y
_atom_site_fract_z
Ca1 0.000 0.000 0.000
Ni1 0.000 0.500 0.500
Se1 0.500 0.500 0.500
```

Entry 5:
The following is a PBE calculation of an optimized crystal structure of SrMnPt, from the Alexandria database.

Summary:
calculated total energy: -4.981 eV/atom

```
data_SrMnPt
_cell_length_a 6.948
_cell_length_b 6.948
_cell_length_c 6.948
_cell_angle_alpha 90.00
_cell_angle_beta 90.00
_cell_angle_gamma 90.00
_space_group_name_H-M_alt 'F -4 3 m'
_space_group_IT_number 216
_space_group_name_Hall 'F -4 2 3'
loop_
_atom_site_label
_atom_site_fract_x
_atom_site_fract_y
_atom_site_fract_z
Sr1 0.000 0.000 0.000
Mn1 0.250 0.250 0.250
Pt1 0.250 0.250 0.750
```

Entry 6:
The following is a PBE calculation of an optimized crystal structure of Tb3Pr4Y2, from the Alexandria database.

Summary:
polymorph energy (0 for the lowest one): 4.1 kJ per mole of atoms
calculated total energy: -5.046 eV/atom

```
data_Tb3Pr4Y2
_cell_length_a 3.6435
_cell_length_b 3.6435
_cell_length_c 26.9919
_cell_angle_alpha 90.00
_cell_angle_beta 90.00
_cell_angle_gamma 120.00
_space_group_name_H-M_alt 'P 3 m 1'
_space_group_IT_number 156
loop_
_space_group_symop_operation_xyz
'x,y,z'
'-y,x-y,z'
'-x+y,-x,z'
'-y,-x,z'
'-x+y,y,z'
'x,x-y,z'
loop_
_atom_site_label
_atom_site_fract_x
_atom_site_fract_y
_atom_site_fract_z
Tb1 0.0000 0.0000 0.0000
Tb2 0.0000 0.0000 0.3399
Tb3 0.6667 0.3333 0.6748
Pr1 0.0000 0.0000 0.5660
Pr2 0.0000 0.0000 0.7848
Pr3 0.6667 0.3333 0.2332
Pr4 0.6667 0.3333 0.4502
Y1 0.6667 0.3333 0.1034
Y2 0.6667 0.3333 0.8944
```

Number 1: calculated density 15.83 g/cm³, Fermi-level density of states 8.41 states/eV/cell, total moment 0.003 μB per cell. Number 2: calculated density 6.63 g/cm³, Fermi-level density of states 5.55 states/eV/cell, total moment 0.000 μB per cell. Number 3: calculated density 5.65 g/cm³, Fermi-level density of states 15.66 states/eV/cell, total moment 3.016 μB per cell. Number 4: calculated density 5.59 g/cm³, Fermi-level density of states 0.95 states/eV/cell, total moment 0.000 μB per cell. Number 5: calculated density 6.69 g/cm³, Fermi-level density of states 7.95 states/eV/cell, total moment 19.494 μB per cell. Number 6: calculated density 6.52 g/cm³, Fermi-level density of states 16.68 states/eV/cell, total moment 0.612 μB per cell.